w.
# LiGa2Pt

Crystalline LiGa2Pt at its relaxed geometry (PBE-GGA, Alexandria via LeMat-Bulk).

POSCAR file:
```
LiGa2Pt
1.0
-1.5764 4.0638 2.4185
1.5764 -4.0638 2.4185
1.5764 4.0638 -2.4185
Li Ga Pt
1 2 1
direct
0.0000 0.0000 0.0000 Li
0.3885 0.6259 0.7626 Ga
0.8633 0.6259 0.2374 Ga
0.4620 0.9620 0.5000 Pt
```

Calculated values
Its density is 9150 kg/m³. As for the total magnetic moment: 0.000 μB per atom. The crystal system is orthorhombic.



x.
# LiGa2Pt

Crystalline LiGa2Pt at its relaxed geometry (PBE-GGA, Alexandria via LeMat-Bulk).

POSCAR file:
```
LiGa2Pt
1.0
3.8945 -2.2489 0.0000
3.8945 2.2489 0.0000
-0.1402 0.0000 4.7787
Li Ga Pt
1 2 1
direct
0.0000 0.0000 0.0000 Li
0.3321 0.3321 0.9298 Ga
0.6669 0.6669 0.4473 Ga
0.6658 0.6658 0.9467 Pt
```

Calculated values
Its density is 6774 kg/m³. As for the total magnetic moment: 0.000 μB per atom. The crystal system is monoclinic.



Most stable = w